First-principles (PBE-GGA) data for a relaxed HfICl3 crystal, as listed in the Alexandria database.

Cell: 7.235 6.199 8.095 Å, 90.00 90.05 90.00°
Positions (direct):
Hf1 0.250 0.000 0.003
Hf2 0.750 0.500 0.997
I1 0.250 0.825 0.313
I2 0.750 0.325 0.687
Cl1 0.006 0.758 0.885
Cl2 0.250 0.201 0.759
Cl3 0.494 0.759 0.885
Cl4 0.506 0.259 0.115
Cl5 0.750 0.701 0.241
Cl6 0.994 0.258 0.115

Properties
- raw total energy (eV per atom) = -4.902
- space group = P2_1, No. 4
- total magnetic moment (μB/f.u.) = 0.00
- uncorrected formation energy (eV per atom) = -1.493
- energy above the most stable polymorph in this dataset (meV/atom) = 35